Compound: TcAg2Au
Source: the Alexandria database
Functional: PBE
Structure: optimized geometry

```
data_TcAg2Au
_cell_length_a 5.248
_cell_length_b 5.248
_cell_length_c 2.682
_cell_angle_alpha 90.00
_cell_angle_beta 90.00
_cell_angle_gamma 113.26
_symmetry_space_group_name_H-M 'P 1'
_symmetry_Int_Tables_number 1
loop_
_symmetry_equiv_pos_as_xyz
'x,y,z'
loop_
_atom_site_label
_atom_site_type_symbol
_atom_site_fract_x
_atom_site_fract_y
_atom_site_fract_z
Tc1 Tc 0.000 0.000 0.000
Ag1 Ag 0.000 0.500 0.500
Ag2 Ag 0.500 0.000 0.500
Au1 Au 0.500 0.500 0.000
```

Properties
Size of the total moment in μB per formula unit: 0.01
Space-group type: Cmmm, No. 65
Formation enthalpy at 0 K in eV/atom: 0.45



Compound: NbGa4Ni15
Source: the Alexandria database
Functional: PBE
Structure: optimized geometry

```
data_NbGa4Ni15
_cell_length_a 3.609
_cell_length_b 3.609
_cell_length_c 17.944
_cell_angle_alpha 90.00
_cell_angle_beta 90.00
_cell_angle_gamma 90.00
_symmetry_space_group_name_H-M 'P 1'
_symmetry_Int_Tables_number 1
loop_
_symmetry_equiv_pos_as_xyz
'x,y,z'
loop_
_atom_site_label
_atom_site_type_symbol
_atom_site_fract_x
_atom_site_fract_y
_atom_site_fract_z
Nb1 Nb 0.000 0.000 0.000
Ga1 Ga 0.000 0.000 0.204
Ga2 Ga 0.000 0.000 0.401
Ga3 Ga 0.000 0.000 0.599
Ga4 Ga 0.000 0.000 0.796
Ni1 Ni 0.000 0.500 0.103
Ni2 Ni 0.000 0.500 0.302
Ni3 Ni 0.000 0.500 0.500
Ni4 Ni 0.000 0.500 0.698
Ni5 Ni 0.000 0.500 0.897
Ni6 Ni 0.500 0.000 0.103
Ni7 Ni 0.500 0.000 0.302
Ni8 Ni 0.500 0.000 0.500
Ni9 Ni 0.500 0.000 0.698
Ni10 Ni 0.500 0.000 0.897
Ni11 Ni 0.500 0.500 0.000
Ni12 Ni 0.500 0.500 0.203
Ni13 Ni 0.500 0.500 0.400
Ni14 Ni 0.500 0.500 0.600
Ni15 Ni 0.500 0.500 0.797
```

Properties
Size of the total moment in μB per formula unit: 2.13
Space-group type: P4/mmm, No. 123
Formation enthalpy at 0 K in eV/atom: -0.30



Compound: CoAg2Au
Source: the Alexandria database
Functional: PBE
Structure: optimized geometry

```
data_CoAg2Au
_cell_length_a 3.961
_cell_length_b 3.961
_cell_length_c 4.167
_cell_angle_alpha 90.00
_cell_angle_beta 90.00
_cell_angle_gamma 90.00
_symmetry_space_group_name_H-M 'P 1'
_symmetry_Int_Tables_number 1
loop_
_symmetry_equiv_pos_as_xyz
'x,y,z'
loop_
_atom_site_label
_atom_site_type_symbol
_atom_site_fract_x
_atom_site_fract_y
_atom_site_fract_z
Co1 Co 0.000 0.000 0.000
Ag1 Ag 0.000 0.500 0.500
Ag2 Ag 0.500 0.000 0.500
Au1 Au 0.500 0.500 0.000
```

Properties
Size of the total moment in μB per formula unit: 1.49
Space-group type: P4/mmm, No. 123
Formation enthalpy at 0 K in eV/atom: 0.31